Below is crystalline PrPu2Ni9 at its relaxed geometry, with properties calculated at the GGA-PBE level.

Cell and atoms, written as CIF:
```
data_PrPu2Ni9
_chemical_formula_sum 'Pr3 Pu6 Ni27'
_cell_length_a 4.9836
_cell_length_b 4.9836
_cell_length_c 24.4493
_cell_angle_alpha 90.00
_cell_angle_beta 90.00
_cell_angle_gamma 120.00
_symmetry_space_group_name_H-M 'R -3 m'
_symmetry_Int_Tables_number 166
_symmetry_space_group_name_Hall '-R 3 2"'
loop_
_atom_site_label
_atom_site_type_symbol
_atom_site_fract_x
_atom_site_fract_y
_atom_site_fract_z
Pr1 Pr 0.0000 0.0000 0.0000
Pu1 Pu 0.0000 0.0000 0.1431
Ni1 Ni 0.0000 0.0000 0.3328
Ni2 Ni 0.0000 0.0000 0.5000
Ni3 Ni 0.9995 0.4998 0.0827
```

Energy of formation from the pure elements: -0.27 eV per atom
Crystal system: trigonal
V: 526 Å³ per cell



Below is crystalline Dy12YTh2 at its relaxed geometry, with properties calculated at the GGA-PBE level.

Cell and atoms, written as CIF:
```
data_Dy12YTh2
_chemical_formula_sum 'Dy48 Y4 Th8'
_cell_length_a 7.0634
_cell_length_b 11.1309
_cell_length_c 24.5755
_cell_angle_alpha 90.00
_cell_angle_beta 94.17
_cell_angle_gamma 90.00
_symmetry_space_group_name_H-M 'C 1 2/m 1'
_symmetry_Int_Tables_number 12
loop_
_symmetry_equiv_pos_as_xyz
'x,y,z'
'-x,-y,-z'
'-x,y,-z'
'x,-y,z'
'x+1/2,y+1/2,z'
'-x+1/2,-y+1/2,-z'
'-x+1/2,y+1/2,-z'
'x+1/2,-y+1/2,z'
loop_
_atom_site_label
_atom_site_type_symbol
_atom_site_fract_x
_atom_site_fract_y
_atom_site_fract_z
Dy1 Dy 0.0185 0.2499 0.0738
Dy2 Dy 0.1101 0.2402 0.4451
Dy3 Dy 0.1483 0.5000 0.5893
Dy4 Dy 0.1600 0.0000 0.5654
Dy5 Dy 0.1675 0.2388 0.6697
Dy6 Dy 0.1995 0.2474 0.7986
Dy7 Dy 0.2149 0.0000 0.8643
Dy8 Dy 0.2158 0.5000 0.8639
Y1 Y 0.2498 0.0000 0.0000
Th1 Th 0.0584 0.5000 0.2685
Th2 Th 0.0764 0.0000 0.2694
```

Energy of formation from the pure elements: 0.12 eV per atom
Crystal system: monoclinic
V: 1927 Å³ per cell



Below is crystalline ScTlW at its relaxed geometry, with properties calculated at the GGA-PBE level.

Cell and atoms, written as CIF:
```
data_ScTlW
_chemical_formula_sum 'Sc4 Tl4 W4'
_cell_length_a 6.5356
_cell_length_b 6.5356
_cell_length_c 6.5356
_cell_angle_alpha 90.00
_cell_angle_beta 90.00
_cell_angle_gamma 90.00
_symmetry_space_group_name_H-M 'F -4 3 m'
_symmetry_Int_Tables_number 216
_symmetry_space_group_name_Hall 'F -4 2 3'
loop_
_atom_site_label
_atom_site_type_symbol
_atom_site_fract_x
_atom_site_fract_y
_atom_site_fract_z
Sc1 Sc 0.0000 0.0000 0.0000
Tl1 Tl 0.2500 0.2500 0.7500
W1 W 0.0000 0.0000 0.5000
```

Energy of formation from the pure elements: 1.06 eV per atom
Crystal system: cubic
V: 279 Å³ per cell



Below is crystalline Y2Hf2Mg at its relaxed geometry, with properties calculated at the GGA-PBE level.

Cell and atoms, written as CIF:
```
data_Y2Hf2Mg
_chemical_formula_sum 'Y4 Hf4 Mg2'
_cell_length_a 4.3894
_cell_length_b 4.3894
_cell_length_c 14.6289
_cell_angle_alpha 90.00
_cell_angle_beta 90.00
_cell_angle_gamma 90.00
_symmetry_space_group_name_H-M 'I 4/m m m'
_symmetry_Int_Tables_number 139
_symmetry_space_group_name_Hall '-I 4 2'
loop_
_atom_site_label
_atom_site_type_symbol
_atom_site_fract_x
_atom_site_fract_y
_atom_site_fract_z
Y1 Y 0.0000 0.5000 0.2500
Hf1 Hf 0.0000 0.0000 0.0880
Mg1 Mg 0.0000 0.0000 0.5000
```

Energy of formation from the pure elements: 0.72 eV per atom
Crystal system: tetragonal
V: 282 Å³ per cell



Below is crystalline ScIrO3 at its relaxed geometry, with properties calculated at the GGA-PBE level.

Cell and atoms, written as CIF:
```
data_ScIrO3
_chemical_formula_sum 'Sc1 Ir1 O3'
_cell_length_a 3.9985
_cell_length_b 3.9985
_cell_length_c 3.9985
_cell_angle_alpha 90.00
_cell_angle_beta 90.00
_cell_angle_gamma 90.00
_symmetry_space_group_name_H-M 'P m -3 m'
_symmetry_Int_Tables_number 221
_symmetry_space_group_name_Hall '-P 4 2 3'
loop_
_atom_site_label
_atom_site_type_symbol
_atom_site_fract_x
_atom_site_fract_y
_atom_site_fract_z
Sc1 Sc 0.0000 0.0000 0.0000
Ir1 Ir 0.5000 0.5000 0.5000
O1 O 0.0000 0.0000 0.5000
```

Crystal system: cubic
Raw formation energy: -3.27 eV/f.u.
V: 64 Å³ per cell



Below is crystalline MgNb3 at its relaxed geometry, with properties calculated at the GGA-PBE level.

Cell and atoms, written as CIF:
```
data_MgNb3
_chemical_formula_sum 'Mg4 Nb12'
_cell_length_a 6.6747
_cell_length_b 6.6747
_cell_length_c 6.6747
_cell_angle_alpha 90.00
_cell_angle_beta 90.00
_cell_angle_gamma 90.00
_symmetry_space_group_name_H-M 'F m -3 m'
_symmetry_Int_Tables_number 225
_symmetry_space_group_name_Hall '-F 4 2 3'
loop_
_atom_site_label
_atom_site_type_symbol
_atom_site_fract_x
_atom_site_fract_y
_atom_site_fract_z
Mg1 Mg 0.0000 0.0000 0.0000
Nb1 Nb 0.0000 0.0000 0.5000
Nb2 Nb 0.2500 0.2500 0.2500
```

Energy of formation from the pure elements: 0.24 eV per atom
Crystal system: cubic
V: 297 Å³ per cell